[1]
A geometry-optimized In2SbRu structure, computed with PBE-GGA.

abc: 4.7323 4.7323 3.8084
angles: 90.00 90.00 90.00
Closest atoms and distances in Å follow each position.
Fractional coordinates of all 4 atoms:
In  0.0000  0.0000  0.0000  4 Sb 3.04, 4 Ru 3.04, 4 In 3.35
In  0.5000  0.5000  0.0000  4 Sb 3.04, 4 Ru 3.04, 4 In 3.35
Ru  0.5000  0.0000  0.5000  8 In 3.04, 4 Sb 3.35
Sb  0.0000  0.5000  0.5000  8 In 3.04, 4 Ru 3.35

space-group type: No. 123
uncorrected energy: -17.3 eV for the cell shown

[2]
A geometry-optimized TaIn2SbRu structure, computed with PBE-GGA.

abc: 5.0769 4.9748 5.0769
angles: 90.00 90.00 90.00
Closest atoms and distances in Å follow each position.
Fractional coordinates of all 5 atoms:
Sb  0.0000  0.5000  0.0000  2 Ru 2.49
In  0.0000  0.0000  0.5000  2 Ru 2.54
In  0.5000  0.0000  0.0000  2 Ru 2.54
Ru  0.0000  0.0000  0.0000  2 Sb 2.49, 4 In 2.54
Ta  0.5000  0.5000  0.5000  8 In 3.55, 4 Sb 3.59

space-group type: No. 123
uncorrected energy: -25.7 eV for the cell shown

no.,total moment (Bohr magnetons per cell)
1,0.4
2,2.5